Material: Cs3K3CrF8
Method: DFT, PBE+U
State: relaxed

Structure (POSCAR):
```
Cs3K3CrF8
1.0
6.7133 -3.9128 0.0000
6.7133 3.9128 0.0000
-4.4980 0.0000 6.7382
Cs K Cr F
3 3 1 8
Cartesian
0.0000 0.0000 0.0000 Cs
3.3567 1.9564 0.0000 Cs
3.3567 -1.9564 0.0000 Cs
1.1077 1.9564 3.3691 K
1.1077 -1.9564 3.3691 K
4.4643 0.0000 3.3691 K
-2.2490 0.0000 3.3691 Cr
-0.5504 0.0000 4.5237 F
3.5193 2.2658 4.6254 F
5.4094 2.2658 2.1128 F
2.2251 0.0000 1.9110 F
6.7035 0.0000 4.8272 F
3.5193 -2.2658 4.6254 F
5.4094 -2.2658 2.1128 F
9.4791 0.0000 2.2144 F
```

Values from the calculation:
Its crystal system is monoclinic. The calculation puts the total energy at -4.546 eV/atom.

Material: CsLaCrF6
Method: DFT, PBE+U
State: relaxed

Structure (POSCAR):
```
CsLaCrF6
1.0
-3.9781 3.9843 5.3528
3.9781 -3.9843 5.3528
3.9781 3.9843 -5.3528
Cs La Cr F
2 2 2 12
Cartesian
0.0000 1.9921 0.9597 Cs
3.9781 1.9921 4.3931 Cs
3.9781 0.0000 0.0000 La
0.0000 0.0000 5.3528 La
1.9891 1.9921 -2.6764 Cr
1.9891 -1.9921 2.6764 Cr
1.9000 -0.4996 1.2656 F
6.0562 -0.4996 1.2656 F
3.9781 1.9921 -1.4632 F
1.9000 3.4847 -1.2656 F
2.0781 -0.4996 4.0872 F
3.9781 1.9921 1.3122 F
0.0000 1.9921 4.0405 F
1.9000 4.4839 1.2656 F
2.0781 0.4996 6.6183 F
0.0000 1.9921 6.8160 F
-2.0781 4.4839 4.0872 F
2.0781 4.4839 4.0872 F
```

Values from the calculation:
Its crystal system is orthorhombic. The calculation puts the total energy at -6.038 eV/atom.

Material: Cs2LaCrF6
Method: DFT, PBE+U
State: relaxed

Structure (POSCAR):
```
Cs2LaCrF6
1.0
-3.5292 3.5292 4.4498
3.5292 -3.5292 4.4498
3.5292 3.5292 -4.4498
Cs La Cr F
2 1 1 6
Cartesian
3.5292 0.0000 2.2249 Cs
0.0000 3.5292 2.2249 Cs
0.0000 0.0000 0.0000 La
0.0000 0.0000 4.4498 Cr
1.6340 1.6340 0.0000 F
1.8952 -1.8952 4.4498 F
0.0000 0.0000 2.3524 F
0.0000 0.0000 6.5472 F
-1.8952 1.8952 4.4498 F
1.8952 1.8952 4.4498 F
```

Values from the calculation:
Its crystal system is tetragonal. The calculation puts the total energy at -5.532 eV/atom.

Material: Cs2LiCrF6
Method: DFT, PBE+U
State: relaxed

Structure (POSCAR):
```
Cs2LiCrF6
1.0
6.3725 0.0000 0.0000
0.0000 7.9164 0.0000
0.0000 0.0000 6.8412
Cs Li Cr F
4 2 2 12
Cartesian
1.5931 0.0908 1.4852 Cs
1.5931 3.8674 1.4852 Cs
4.7794 4.0490 5.3560 Cs
4.7794 7.8256 5.3560 Cs
1.5931 5.9373 4.2800 Li
4.7794 1.9791 2.5612 Li
1.5931 1.9791 4.8780 Cr
4.7794 5.9373 1.9631 Cr
0.1353 1.9791 3.5201 F
0.2606 1.9791 6.2826 F
1.5931 3.9679 4.8615 F
1.5931 7.9066 4.8615 F
2.9257 1.9791 6.2826 F
3.0509 1.9791 3.5201 F
3.3216 5.9373 3.3211 F
3.4468 5.9373 0.5586 F
4.7794 0.0098 1.9796 F
4.7794 3.9484 1.9796 F
6.1119 5.9373 0.5586 F
6.2372 5.9373 3.3211 F
```

Values from the calculation:
Its crystal system is orthorhombic. The calculation puts the total energy at -5.087 eV/atom.

Material: Cs3LiCr2F9
Method: DFT, PBE+U
State: relaxed

Structure (POSCAR):
```
Cs3LiCr2F9
1.0
6.1131 0.0000 0.0000
-3.0566 5.2941 0.0000
0.0000 0.0000 7.5149
Cs Li Cr F
3 1 2 9
Cartesian
0.0000 0.0000 0.0000 Cs
0.0000 3.5294 4.9139 Cs
3.0566 1.7647 2.6010 Cs
0.0000 0.0000 3.7574 Li
0.0000 3.5294 1.2161 Cr
3.0566 1.7647 6.2988 Cr
-1.5283 2.6471 0.0000 F
0.0000 1.8683 2.3685 F
-1.4386 4.3600 2.3685 F
1.6180 0.9341 5.1464 F
3.0566 0.0000 0.0000 F
1.5283 2.6471 0.0000 F
1.4386 4.3600 2.3685 F
4.4952 0.9341 5.1464 F
3.0566 3.4259 5.1464 F
```

Values from the calculation:
Its crystal system is trigonal. The calculation puts the total energy at -5.139 eV/atom.

Material: Cs2LiCrF6
Method: DFT, PBE+U
State: relaxed

Structure (POSCAR):
```
Cs2LiCrF6
1.0
6.3425 0.0000 0.0000
-3.1713 5.4928 0.0000
0.0000 0.0000 5.1976
Cs Li Cr F
2 1 1 6
Cartesian
0.0000 3.6619 1.2004 Cs
3.1713 1.8309 3.9972 Cs
0.0000 0.0000 0.0000 Li
0.0000 0.0000 2.5988 Cr
0.0000 1.5326 3.8089 F
-1.8440 4.7265 3.8089 F
1.3273 0.7663 1.3887 F
1.8440 4.7265 3.8089 F
5.0152 0.7663 1.3887 F
3.1713 3.9601 1.3887 F
```

Values from the calculation:
Its crystal system is trigonal. The calculation puts the total energy at -5.111 eV/atom.

Material: CsLiCrF6
Method: DFT, PBE+U
State: relaxed

Structure (POSCAR):
```
CsLiCrF6
1.0
2.6722 -4.5846 0.0000
2.6722 4.5846 0.0000
-0.0427 0.0000 6.4822
Cs Li Cr F
1 1 1 6
Cartesian
0.0000 0.0000 0.0000 Cs
2.6508 -1.5565 3.2411 Li
2.6508 1.5130 3.2411 Cr
1.1013 1.6455 4.2910 F
1.7524 2.7202 2.1562 F
3.5492 2.7202 4.3260 F
2.0575 0.1071 2.1591 F
3.2441 0.1071 4.3231 F
4.2004 1.6455 2.1912 F
```

Values from the calculation:
Its crystal system is monoclinic. The calculation puts the total energy at -5.077 eV/atom.

Material: CsMnCr2F8
Method: DFT, PBE+U
State: relaxed

Structure (POSCAR):
```
CsMnCr2F8
1.0
4.8931 0.0000 0.0000
-0.2972 4.9557 0.0000
-0.0493 -0.3069 8.5299
Cs Mn Cr F
1 1 2 8
Cartesian
0.0000 0.0000 0.0000 Cs
-0.0246 -0.1534 4.2649 Mn
2.2259 2.3645 2.6785 Cr
2.3207 2.2843 5.8514 Cr
1.0017 0.8333 5.8355 F
1.0549 0.7931 2.7401 F
1.2307 3.1744 4.3487 F
1.4348 2.9192 1.0668 F
3.1117 1.7296 7.4631 F
3.3159 1.4744 4.1812 F
3.4916 3.8557 5.7898 F
3.5448 3.8155 2.6944 F
```

Values from the calculation:
Its crystal system is triclinic. The calculation puts the total energy at -5.794 eV/atom.

Material: Cs2MnCrF6
Method: DFT, PBE+U
State: relaxed

Structure (POSCAR):
```
Cs2MnCrF6
1.0
-3.1374 3.1374 4.3091
3.1374 -3.1374 4.3091
3.1374 3.1374 -4.3091
Cs Mn Cr F
2 1 1 6
Cartesian
3.1374 0.0000 2.1545 Cs
0.0000 3.1374 2.1545 Cs
0.0000 0.0000 0.0000 Mn
0.0000 0.0000 4.3091 Cr
1.5269 1.5269 0.0000 F
1.6105 -1.6105 4.3091 F
0.0000 0.0000 2.2661 F
0.0000 0.0000 6.3521 F
-1.6105 1.6105 4.3091 F
1.6105 1.6105 4.3091 F
```

Values from the calculation:
Its crystal system is tetragonal. The calculation puts the total energy at -5.489 eV/atom.

Material: Cs2MnCr3F12
Method: DFT, PBE+U
State: relaxed

Structure (POSCAR):
```
Cs2MnCr3F12
1.0
3.7948 2.1909 6.1359
-3.7948 2.1909 6.1359
0.0000 -4.3818 6.1359
Cs Mn Cr F
2 1 3 12
Cartesian
0.0000 0.0000 2.2963 Cs
0.0000 0.0000 16.1112 Cs
0.0000 0.0000 9.2038 Mn
-1.8974 -1.0955 6.1359 Cr
-1.8974 1.0955 12.2717 Cr
0.0000 2.1909 6.1358 Cr
-1.5619 -0.9018 8.0612 F
0.0000 -1.6734 5.8027 F
-1.4492 0.8367 5.8027 F
0.0000 -1.8035 10.3464 F
-1.5619 0.9018 10.3464 F
-1.4492 -0.8367 12.6049 F
1.4492 0.8367 5.8027 F
1.5619 -0.9018 8.0612 F
0.0000 1.8035 8.0612 F
1.4492 -0.8367 12.6049 F
0.0000 1.6734 12.6049 F
1.5619 0.9018 10.3464 F
```

Values from the calculation:
Its crystal system is trigonal. The calculation puts the total energy at -5.795 eV/atom.

Material: CsMnCrF6
Method: DFT, PBE+U
State: relaxed

Structure (POSCAR):
```
CsMnCrF6
1.0
2.7830 -4.8007 0.0000
2.7830 4.8007 0.0000
-0.0158 0.0000 6.4757
Cs Mn Cr F
1 1 1 6
Cartesian
0.0000 0.0000 0.0000 Cs
2.7751 1.6030 3.2378 Mn
2.7751 -1.5979 3.2378 Cr
1.1556 -1.7589 2.1441 F
2.1158 -0.1165 4.3443 F
3.4344 -0.1165 2.1313 F
1.8332 -2.9095 4.3444 F
3.7171 -2.9095 2.1313 F
4.3946 -1.7589 4.3315 F
```

Values from the calculation:
Its crystal system is monoclinic. Its energy relative to the lowest polymorph listed for this composition is 16 meV per atom. The calculation puts the total energy at -5.803 eV/atom.

Material: CsMn2CrF8
Method: DFT, PBE+U
State: relaxed

Structure (POSCAR):
```
CsMn2CrF8
1.0
5.3373 0.0000 0.0000
1.4120 5.1778 0.0000
1.9313 1.4396 7.3589
Cs Mn Cr F
1 2 1 8
Cartesian
0.0000 0.0000 0.0000 Cs
3.4935 2.6721 1.7056 Mn
5.1870 3.9452 5.6533 Mn
0.9656 0.7198 3.6795 Cr
3.4456 4.9148 5.0166 F
2.4683 1.8793 3.3011 F
3.0405 4.6158 2.3335 F
2.3705 1.8276 0.1078 F
6.3101 4.7897 7.2511 F
5.6400 2.0016 5.0254 F
6.2122 4.7381 4.0578 F
5.2350 1.7025 2.3423 F
```

Values from the calculation:
Its crystal system is triclinic. The calculation puts the total energy at -5.875 eV/atom.

Material: CsMnCrF6
Method: DFT, PBE+U
State: relaxed

Structure (POSCAR):
```
CsMnCrF6
1.0
-3.7645 3.8096 5.3893
3.7645 -3.8096 5.3893
3.7645 3.8096 -5.3893
Cs Mn Cr F
2 2 2 12
Cartesian
0.0000 1.9048 1.3818 Cs
3.7645 1.9048 4.0076 Cs
3.7645 0.0000 0.0000 Mn
0.0000 0.0000 5.3893 Mn
1.8823 1.9048 -2.6947 Cr
1.8823 -1.9048 2.6947 Cr
3.7645 -1.9048 3.2710 F
2.1925 -0.5176 1.3743 F
5.3365 -0.5176 1.3743 F
2.1925 3.2920 -1.3743 F
1.5720 -0.5176 4.0150 F
3.7645 1.9048 0.8762 F
0.0000 1.9048 4.5131 F
2.1925 4.3272 1.3743 F
1.5720 0.5176 6.7637 F
-1.5720 4.3272 4.0150 F
1.5720 4.3272 4.0150 F
0.0000 5.7144 2.1183 F
```

Values from the calculation:
Its crystal system is orthorhombic. Its energy relative to the lowest polymorph listed for this composition is 0 meV per atom. The calculation puts the total energy at -5.819 eV/atom.

Material: Cs2CrMoF6
Method: DFT, PBE+U
State: relaxed

Structure (POSCAR):
```
Cs2CrMoF6
1.0
-3.0868 3.0868 4.6648
3.0868 -3.0868 4.6648
3.0868 3.0868 -4.6648
Cs Cr Mo F
2 1 1 6
Cartesian
3.0868 0.0000 2.3324 Cs
0.0000 3.0868 2.3324 Cs
0.0000 0.0000 0.0000 Cr
0.0000 0.0000 4.6648 Mo
1.4507 1.4507 0.0000 F
1.6361 -1.6361 4.6648 F
0.0000 0.0000 2.4967 F
0.0000 0.0000 6.8329 F
-1.6361 1.6361 4.6648 F
1.6361 1.6361 4.6648 F
```

Values from the calculation:
Its crystal system is tetragonal. The calculation puts the total energy at -5.175 eV/atom.

Material: Cs2NaCr2F7
Method: DFT, PBE+U
State: relaxed

Structure (POSCAR):
```
Cs2NaCr2F7
1.0
3.1044 -3.1038 0.0000
3.1044 3.1038 0.0000
-3.0992 0.0000 11.1963
Cs Na Cr F
2 1 2 7
Cartesian
-0.0037 0.0000 4.0369 Cs
3.1133 0.0000 7.1594 Cs
0.0000 0.0000 0.0000 Na
0.0091 0.0000 9.2030 Cr
3.1004 0.0000 1.9932 Cr
1.5462 1.5500 1.8831 F
0.0107 0.0000 7.1705 F
1.5634 1.5500 9.3132 F
3.1044 0.0000 0.0000 F
1.5462 -1.5500 1.8831 F
3.0988 0.0000 4.0257 F
1.5634 -1.5500 9.3132 F
```

Values from the calculation:
Its crystal system is monoclinic. The calculation puts the total energy at -5.216 eV/atom.

Material: Cs2NaCrF6
Method: DFT, PBE+U
State: relaxed

Structure (POSCAR):
```
Cs2NaCrF6
1.0
3.1749 1.8330 10.3156
-3.1749 1.8330 10.3156
0.0000 -3.6661 10.3156
Cs Na Cr F
4 2 2 12
Cartesian
0.0000 0.0000 3.9476 Cs
0.0000 0.0000 8.7385 Cs
0.0000 0.0000 22.2082 Cs
0.0000 0.0000 26.9991 Cs
0.0000 0.0000 12.4724 Na
0.0000 0.0000 18.4743 Na
0.0000 0.0000 0.0000 Cr
0.0000 0.0000 15.4734 Cr
-1.3521 -0.7806 14.2981 F
0.0000 -2.0443 11.4379 F
-1.7704 1.0221 11.4379 F
-1.7704 -1.0221 19.5088 F
0.0000 -1.5613 16.6486 F
-1.3521 0.7806 16.6486 F
1.3521 -0.7806 14.2981 F
0.0000 1.5613 14.2981 F
1.7704 1.0221 11.4379 F
1.7704 -1.0221 19.5088 F
0.0000 2.0443 19.5088 F
1.3521 0.7806 16.6486 F
```

Values from the calculation:
Its crystal system is trigonal. The calculation puts the total energy at -5.036 eV/atom.

Material: Cs3NaCr2F9
Method: DFT, PBE+U
State: relaxed

Structure (POSCAR):
```
Cs3NaCr2F9
1.0
6.1919 0.0000 0.0000
-3.0960 5.3624 0.0000
0.0000 0.0000 7.6268
Cs Na Cr F
3 1 2 9
Cartesian
0.0000 0.0000 0.0000 Cs
0.0000 3.5749 4.9859 Cs
3.0960 1.7875 2.6409 Cs
0.0000 0.0000 3.8134 Na
0.0000 3.5749 1.1884 Cr
3.0960 1.7875 6.4384 Cr
-1.5480 2.6812 0.0000 F
0.0000 1.9336 2.3464 F
-1.4214 4.3956 2.3464 F
1.6745 0.9668 5.2804 F
3.0960 0.0000 0.0000 F
1.5480 2.6812 0.0000 F
1.4215 4.3956 2.3464 F
4.5174 0.9668 5.2804 F
3.0960 3.4288 5.2804 F
```

Values from the calculation:
Its crystal system is trigonal. The calculation puts the total energy at -5.114 eV/atom.

Material: CsNa2CrF6
Method: DFT, PBE+U
State: relaxed

Structure (POSCAR):
```
CsNa2CrF6
1.0
6.3527 0.0000 0.0000
0.0000 6.1396 0.0000
-6.2912 0.0000 8.5409
Cs Na Cr F
2 4 2 12
Cartesian
0.0000 0.0000 0.0000 Cs
-3.1456 3.0698 4.2704 Cs
-2.9917 0.2386 6.7229 Na
0.1538 2.8312 2.4525 Na
-0.0923 3.3084 6.0884 Na
3.0533 5.9010 1.8179 Na
0.0308 0.0000 4.2704 Cr
3.1764 3.0698 0.0000 Cr
-4.5313 3.4747 7.2442 F
-1.3857 5.7347 2.9738 F
2.5387 1.2468 0.1728 F
-0.6069 1.8230 4.4432 F
2.0139 3.7496 1.4454 F
-1.1316 5.4598 5.7158 F
1.1932 0.6798 2.8250 F
-1.9524 2.3900 7.0955 F
0.6684 4.3166 4.0976 F
-2.4772 4.8928 8.3681 F
1.4473 0.4049 5.5670 F
4.5929 2.6649 1.2966 F
```

Values from the calculation:
Its crystal system is monoclinic. The calculation puts the total energy at -5.020 eV/atom.